P.
First-principles (PBE-GGA) data for an optimized crystal structure of ZnCoMoPb, as listed in OQMD.

The value obtained for the volume is 16.3 A^3/atom.

It has space group F-43m (No. 216), with a = 6.389 Å, b = 6.389 Å, c = 6.389 Å, α = 90.00°, β = 90.00° and γ = 90.00°. Symmetry generates all atoms from Zn at (0.000, 0.000, 0.000), Co at (0.000, 0.000, 0.500), Mo at (0.250, 0.250, 0.750) and Pb at (0.250, 0.250, 0.250).


Q.
First-principles (PBE-GGA) data for an optimized crystal structure of ZnCoMoPb, as listed in OQMD.

The value obtained for the volume is 16.3 A^3/atom.

It has space group F-43m (No. 216), with a = 6.395 Å, b = 6.395 Å, c = 6.395 Å, α = 90.00°, β = 90.00° and γ = 90.00°. Symmetry generates all atoms from Zn at (0.000, 0.000, 0.000), Co at (0.250, 0.250, 0.750), Mo at (0.250, 0.250, 0.250) and Pb at (0.000, 0.000, 0.500).


Compare the structures above. Which one is the least stable? P is.